No. 1
{
  "formula": "NdAs2Rh4",
  "functional": "GGA-PBE",
  "state": "relaxed",
  "dos_ef_per_ev_cell": 12.16,
  "sg": "No. 136",
  "e_form_ev_per_atom": -0.71,
  "cell": [[-2.693, 1.937, -2.037], [-5.556, -4.578, 2.991], [-0.907, 4.977, 5.932]],
  "species": ["Rh", "Rh", "Rh", "Rh", "Rh", "Rh", "Rh", "Rh", "As", "As", "As", "As", "Nd", "Nd"],
  "frac_coords": [[0.000, 0.078, 0.334], [0.000, 0.922, 0.666], [0.500, 0.166, 0.578], [0.500, 0.834, 0.422], [0.500, 0.422, 0.834], [0.500, 0.578, 0.166], [0.000, 0.334, 0.078], [0.000, 0.666, 0.922], [0.000, 0.227, 0.773], [0.000, 0.773, 0.227], [0.500, 0.727, 0.727], [0.500, 0.273, 0.273], [0.500, 0.000, 0.000], [0.000, 0.500, 0.500]]
}


No. 2
{
  "formula": "Y2SbPtBr",
  "functional": "GGA-PBE",
  "state": "relaxed",
  "formation_energy_uncorrected_ev_per_atom": 0.32,
  "dos_ef_per_ev_cell": 6.21,
  "sg": "No. 123",
  "cell": [[5.733, 0.000, 0.000], [0.000, 5.356, 0.000], [0.000, 0.000, 5.733]],
  "species": ["Y", "Y", "Sb", "Br", "Pt"],
  "frac_coords": [[0.000, 0.000, 0.500], [0.500, 0.000, 0.000], [0.000, 0.000, 0.000], [0.000, 0.500, 0.000], [0.500, 0.500, 0.500]]
}


No. 3
{
  "formula": "ZnRuSe2",
  "functional": "GGA-PBE",
  "state": "relaxed",
  "formation_energy_uncorrected_ev_per_atom": -0.10,
  "dos_ef_per_ev_cell": 0.37,
  "sg": "No. 166",
  "cell": [[2.255, -7.075, 1.073], [3.769, -6.066, -2.300], [5.489, -5.023, 0.961]],
  "species": ["Ru", "Zn", "Se", "Se"],
  "frac_coords": [[0.500, 0.500, 0.500], [0.000, 0.000, 0.000], [0.889, 0.889, 0.889], [0.111, 0.111, 0.111]]
}


No. 4
{
  "formula": "BaAcPt2",
  "functional": "GGA-PBE",
  "state": "relaxed",
  "dos_ef_per_ev_cell": 1.04,
  "sg": "No. 225",
  "e_form_ev_per_atom": -0.85,
  "relative_energy_ev_per_fu": 0.30,
  "cell": [[-2.102, 3.124, -3.847], [-1.107, -2.071, -4.844], [-5.115, -0.686, -1.529]],
  "species": ["Ac", "Ba", "Pt", "Pt"],
  "frac_coords": [[0.000, 0.000, 0.000], [0.500, 0.500, 0.500], [0.250, 0.250, 0.250], [0.750, 0.750, 0.750]]
}


No. 5
{
  "formula": "KTlCdBi",
  "functional": "GGA-PBE",
  "state": "relaxed",
  "dos_ef_per_ev_cell": 3.46,
  "sg": "No. 129",
  "e_form_ev_per_atom": -0.14,
  "relative_energy_ev_per_fu": 0.00,
  "cell": [[-4.990, 0.422, -0.278], [-0.342, -0.789, 4.941], [0.766, 10.167, 1.676]],
  "species": ["K", "K", "Tl", "Tl", "Cd", "Cd", "Bi", "Bi"],
  "frac_coords": [[0.750, 0.750, 0.242], [0.250, 0.250, 0.758], [0.250, 0.750, 0.500], [0.750, 0.250, 0.500], [0.750, 0.250, 0.000], [0.250, 0.750, 0.000], [0.750, 0.750, 0.814], [0.250, 0.250, 0.186]]
}


No. 6
{
  "formula": "Ti2NbCdC",
  "functional": "GGA-PBE",
  "state": "relaxed",
  "dos_ef_per_ev_cell": 5.23,
  "sg": "No. 123",
  "e_form_ev_per_atom": 1.22,
  "relative_energy_ev_per_fu": 7.74,
  "cell": [[-4.249, -2.382, -0.392], [2.084, -3.597, -0.733], [0.079, -0.931, 4.797]],
  "species": ["Nb", "Ti", "Ti", "C", "Cd"],
  "frac_coords": [[0.000, 0.000, 0.000], [0.000, 0.000, 0.500], [0.500, 0.000, 0.000], [0.000, 0.500, 0.000], [0.500, 0.500, 0.500]]
}


No. 7
{
  "formula": "Nd2ThGa",
  "functional": "GGA-PBE",
  "state": "relaxed",
  "dos_ef_per_ev_cell": 4.22,
  "sg": "No. 166",
  "e_form_ev_per_atom": 0.03,
  "relative_energy_ev_per_fu": 1.09,
  "cell": [[-2.469, 2.375, 0.810], [-3.055, -1.045, 1.404], [2.671, 1.515, 11.352]],
  "species": ["Nd", "Nd", "Ga", "Th"],
  "frac_coords": [[0.100, 0.100, 0.699], [0.900, 0.900, 0.301], [0.500, 0.500, 0.500], [0.000, 0.000, 0.000]]
}


No. 8
{
  "formula": "Tb3Ga5Pt6",
  "functional": "GGA-PBE",
  "state": "relaxed",
  "dos_ef_per_ev_cell": 12.43,
  "sg": "No. 59",
  "e_form_ev_per_atom": -0.97,
  "cell": [[-2.022, 3.738, -0.730], [-1.842, -2.640, -8.416], [-11.420, -5.362, 4.181]],
  "species": ["Tb", "Tb", "Tb", "Tb", "Tb", "Tb", "Ga", "Ga", "Ga", "Ga", "Ga", "Ga", "Ga", "Ga", "Ga", "Ga", "Pt", "Pt", "Pt", "Pt", "Pt", "Pt", "Pt", "Pt", "Pt", "Pt", "Pt", "Pt"],
  "frac_coords": [[0.000, 0.244, 0.689], [0.500, 0.756, 0.189], [0.500, 0.756, 0.811], [0.000, 0.238, 0.000], [0.500, 0.762, 0.500], [0.000, 0.244, 0.311], [0.000, 0.523, 0.877], [0.000, 0.885, 0.673], [0.000, 0.768, 0.000], [0.500, 0.477, 0.623], [0.500, 0.232, 0.500], [0.000, 0.523, 0.123], [0.500, 0.477, 0.377], [0.000, 0.885, 0.327], [0.500, 0.115, 0.827], [0.500, 0.115, 0.173], [0.000, 0.975, 0.864], [0.500, 0.025, 0.636], [0.500, 0.394, 0.811], [0.500, 0.563, 0.000], [0.000, 0.437, 0.500], [0.000, 0.606, 0.689], [0.000, 0.606, 0.311], [0.500, 0.981, 0.000], [0.000, 0.975, 0.136], [0.500, 0.394, 0.189], [0.000, 0.019, 0.500], [0.500, 0.025, 0.364]]
}